No. 1
Compound: BaTl2Co
Source: Alexandria via LeMat-Bulk
Functional: PBE
Structure: optimized geometry

a b c (Å): 8.0874 4.6577 6.8224
angles (deg): 90.00 113.31 90.00
Last column: nearest neighbours and their distance in Å.
Space group Cm (No. 8)
Asymmetric unit:
Ba1 0.0000 0.0000 0.0000 (multiplicity 2)  1 Co 3.41, 6 Tl 3.54-3.57
Tl1 0.0450 0.5000 0.6336 (multiplicity 2)  3 Co 2.75
Tl2 0.2913 0.5000 0.3729 (multiplicity 2)  3 Co 2.89-2.90, 3 Tl 3.15
Co1 0.1817 0.0000 0.5435 (multiplicity 2)  6 Tl 2.75-2.90

## Properties
- Energy of formation: 0.5 eV per formula unit
- Magnetic moment: 0.304 μB per atom
- N(E_F): 1.796 states/eV/atom

No. 2
Compound: Cs2MgAu
Source: Alexandria via LeMat-Bulk
Functional: PBE
Structure: optimized geometry

a b c (Å): 9.1114 9.1114 9.1114
angles (deg): 90.00 90.00 90.00
Last column: nearest neighbours and their distance in Å.
Space group Fm-3m (No. 225)
Asymmetric unit:
Cs1 0.2500 0.2500 0.2500 (multiplicity 8)  4 Au 3.95, 4 Mg 3.95
Mg1 0.0000 0.0000 0.0000 (multiplicity 4)  8 Cs 3.95
Au1 0.0000 0.0000 0.5000 (multiplicity 4)  8 Cs 3.95

## Properties
- E above lowest polymorph: 182 meV/atom
- Energy of formation: 0.3 eV per formula unit
- Magnetic moment: 0.000 μB per atom
- N(E_F): 0.727 states/eV/atom

No. 3
Compound: Pr3TmTe4
Source: Alexandria via LeMat-Bulk
Functional: PBE
Structure: optimized geometry

a b c (Å): 7.8348 8.8898 7.7179
angles (deg): 90.00 109.17 90.00
Last column: nearest neighbours and their distance in Å.
Space group P2/c (No. 13)
Asymmetric unit:
Pr1 0.0000 0.1190 0.2500 (multiplicity 2)  6 Te 3.17-3.29
Pr2 0.0000 0.3722 0.7500 (multiplicity 2)  6 Te 3.14-3.26
Pr3 0.5000 0.1214 0.7500 (multiplicity 2)  6 Te 3.15-3.19
Tm1 0.5000 0.3727 0.2500 (multiplicity 2)  6 Te 3.05-3.10
Te1 0.2570 0.1336 0.0079 (multiplicity 4)  1 Tm 3.05, 5 Pr 3.14-3.23
Te2 0.2636 0.3814 0.4989 (multiplicity 4)  2 Tm 3.08-3.10, 4 Pr 3.19-3.29

## Properties
- E above lowest polymorph: 0 meV/atom
- Magnetic moment: 0.000 μB per atom
- N(E_F): 0.509 states/eV/atom

No. 4
Compound: KLiTlPb2
Source: Alexandria via LeMat-Bulk
Functional: PBE
Structure: optimized geometry

a b c (Å): 5.3148 5.3148 5.5226
angles (deg): 90.00 90.00 90.00
Last column: nearest neighbours and their distance in Å.
Space group P4/mmm (No. 123)
Asymmetric unit:
K1 0.0000 0.0000 0.0000 (multiplicity 1)  4 Tl 3.76, 8 Pb 3.83
Li1 0.5000 0.5000 0.5000 (multiplicity 1)  4 Pb 2.66, 2 Tl 2.76
Tl1 0.5000 0.5000 0.0000 (multiplicity 1)  2 Li 2.76
Pb1 0.0000 0.5000 0.5000 (multiplicity 2)  2 Li 2.66

## Properties
- Energy of formation: -0.2 eV per formula unit
- Magnetic moment: 0.000 μB per atom
- N(E_F): 0.424 states/eV/atom